# RbAgAs PBE-GGA optimized geometry
data_RbAgAs
_chemical_formula_sum 'Rb2 Ag2 As2'
_cell_length_a 4.5799
_cell_length_b 5.0804
_cell_length_c 8.7243
_cell_angle_alpha 106.87
_cell_angle_beta 103.61
_cell_angle_gamma 90.01
_symmetry_space_group_name_H-M 'P -1'
_symmetry_Int_Tables_number 2
loop_
_symmetry_equiv_pos_as_xyz
'x,y,z'
'-x,-y,-z'
loop_
_atom_site_label
_atom_site_type_symbol
_atom_site_fract_x
_atom_site_fract_y
_atom_site_fract_z
Rb1 Rb 0.1217 0.3810 0.2616
Ag1 Ag 0.4597 0.2044 0.9090
As1 As 0.2975 0.0346 0.5729
# calculated total energy	-2.91	eV/atom
# energy of formation from the pure elements	-0.0831	eV per atom
# energy above the lowest structure with this stoichiometry	2.82	kcal/mol of atoms